1.
# LiTaS2, optimized geometry, DFT PBE-GGA
# Raw formation energy: -1063 meV per atom
# Crystal system: trigonal
data_LiTaS2
_chemical_formula_sum 'Li3 Ta3 S6'
_cell_length_a 3.3458
_cell_length_b 3.3458
_cell_length_c 20.2816
_cell_angle_alpha 90.00
_cell_angle_beta 90.00
_cell_angle_gamma 120.00
_symmetry_space_group_name_H-M 'R 3 m'
_symmetry_Int_Tables_number 160
_symmetry_space_group_name_Hall 'R 3 -2"'
loop_
_atom_site_label
_atom_site_fract_x
_atom_site_fract_y
_atom_site_fract_z
Li1 0.0000 0.0000 0.0000
Ta1 0.0000 0.0000 0.8383
S1 0.0000 0.0000 0.2512
S2 0.0000 0.0000 0.4257

2.
# Ti2VPbC, optimized geometry, DFT PBE-GGA
# ΔH_f (0 K): -0.281 eV/atom
# Crystal system: tetragonal
data_Ti2VPbC
_chemical_formula_sum 'Ti2 V1 Pb1 C1'
_cell_length_a 4.349
_cell_length_b 4.349
_cell_length_c 3.986
_cell_angle_alpha 90.00
_cell_angle_beta 90.00
_cell_angle_gamma 90.00
_symmetry_space_group_name_H-M 'P 4/m m m'
_symmetry_Int_Tables_number 123
_symmetry_space_group_name_Hall '-P 4 2'
loop_
_atom_site_label
_atom_site_fract_x
_atom_site_fract_y
_atom_site_fract_z
Ti1 0.000 0.500 0.000
V1 0.000 0.000 0.500
Pb1 0.500 0.500 0.500
C1 0.000 0.000 0.000

3.
# PuCd2Ni9, optimized geometry, DFT PBE-GGA
# ΔH_f (0 K): -0.102 eV/atom
# Crystal system: trigonal
data_PuCd2Ni9
_chemical_formula_sum 'Pu3 Cd6 Ni27'
_cell_length_a 4.8912
_cell_length_b 4.8912
_cell_length_c 23.7976
_cell_angle_alpha 90.00
_cell_angle_beta 90.00
_cell_angle_gamma 120.00
_symmetry_space_group_name_H-M 'R -3 m'
_symmetry_Int_Tables_number 166
_symmetry_space_group_name_Hall '-R 3 2"'
loop_
_atom_site_label
_atom_site_fract_x
_atom_site_fract_y
_atom_site_fract_z
Pu1 0.0000 0.0000 0.0000
Cd1 0.0000 0.0000 0.1435
Ni1 0.0000 0.0000 0.3338
Ni2 0.0000 0.0000 0.5000
Ni3 0.0015 0.5007 0.9169

4.
# Na2CaHg, optimized geometry, DFT PBE-GGA
# ΔH_f (0 K): -0.055 eV/atom
# Crystal system: tetragonal
data_Na2CaHg
_chemical_formula_sum 'Na8 Ca4 Hg4'
_cell_length_a 9.279
_cell_length_b 9.279
_cell_length_c 6.354
_cell_angle_alpha 90.00
_cell_angle_beta 90.00
_cell_angle_gamma 90.00
_symmetry_space_group_name_H-M 'I -4 2 d'
_symmetry_Int_Tables_number 122
_symmetry_space_group_name_Hall 'I -4 2bw'
loop_
_atom_site_label
_atom_site_fract_x
_atom_site_fract_y
_atom_site_fract_z
Na1 0.196 0.250 0.125
Ca1 0.000 0.000 0.500
Hg1 0.000 0.000 0.000